1.
The following is a DFT calculation (PBE) of a relaxed structure of MgZnIr3.

DFT formation energy	1.120	eV/atom
V	18.77	Å³ per atom
calculated density	11.79	g cm⁻³

CIF file:
```
data_MgZnIr3
_symmetry_space_group_name_H-M 'P 1'
_symmetry_Int_Tables_number 1
_cell_length_a 4.5445
_cell_length_b 4.5445
_cell_length_c 4.5445
_cell_angle_alpha 90.00
_cell_angle_beta 90.00
_cell_angle_gamma 90.00
loop_
_symmetry_equiv_pos_as_xyz
'x,y,z'
loop_
_atom_site_label
_atom_site_type_symbol
_atom_site_fract_x
_atom_site_fract_y
_atom_site_fract_z
_atom_site_occupancy
Zn1 Zn 0.0000 0.0000 0.0000 1
Ir1 Ir 0.0000 0.5000 0.0000 1
Ir2 Ir 0.0000 0.0000 0.5000 1
Ir3 Ir 0.5000 0.0000 0.0000 1
Mg1 Mg 0.5000 0.5000 0.5000 1
```


2.
The following is a DFT calculation (PBE) of a relaxed structure of TbSmAu2.

DFT formation energy	-0.852	eV/atom
V	24.95	Å³ per atom
calculated density	11.70	g cm⁻³

CIF file:
```
data_TbSmAu2
_symmetry_space_group_name_H-M 'P 1'
_symmetry_Int_Tables_number 1
_cell_length_a 3.7842
_cell_length_b 4.7363
_cell_length_c 5.8846
_cell_angle_alpha 90.00
_cell_angle_beta 108.86
_cell_angle_gamma 90.00
loop_
_symmetry_equiv_pos_as_xyz
'x,y,z'
loop_
_atom_site_label
_atom_site_type_symbol
_atom_site_fract_x
_atom_site_fract_y
_atom_site_fract_z
_atom_site_occupancy
Tb1 Tb 0.4448 0.5000 0.4290 1
Sm1 Sm 0.7219 0.0000 0.9822 1
Au1 Au 0.1702 0.5000 0.8787 1
Au2 Au 0.9942 0.0000 0.5281 1
```


3.
The following is a DFT calculation (PBE) of a relaxed structure of Y8CuSe4S3.

formation energy (no corrections)	-1.6800	eV per atom
V	23.06	Å³ per atom
calculated density	5.34	g cm⁻³

CIF file:
```
data_Y8CuSe4S3
_symmetry_space_group_name_H-M 'P 1'
_symmetry_Int_Tables_number 1
_cell_length_a 8.0067
_cell_length_b 8.0953
_cell_length_c 8.0065
_cell_angle_alpha 119.64
_cell_angle_beta 120.00
_cell_angle_gamma 90.00
loop_
_symmetry_equiv_pos_as_xyz
'x,y,z'
loop_
_atom_site_label
_atom_site_type_symbol
_atom_site_fract_x
_atom_site_fract_y
_atom_site_fract_z
_atom_site_occupancy
Y1 Y 0.2429 0.7321 0.9893 1
Y2 Y 0.2429 0.7321 0.4857 1
Y3 Y 0.2575 0.2725 0.5150 1
Y4 Y 0.7464 0.7321 0.9893 1
Y5 Y 0.2536 0.2679 0.0107 1
Y6 Y 0.7425 0.7275 0.4850 1
Y7 Y 0.7571 0.2679 0.5143 1
Y8 Y 0.7571 0.2679 0.0107 1
Cu1 Cu 0.0000 0.5000 0.0000 1
Se1 Se 0.5000 0.0000 0.0000 1
Se2 Se 0.5000 0.0000 0.5000 1
Se3 Se 0.0000 0.0000 0.0000 1
Se4 Se 0.0000 0.0000 0.5000 1
S1 S 0.5000 0.5000 0.0000 1
S2 S 0.5000 0.5000 0.5000 1
S3 S 0.0000 0.5000 0.5000 1
```


4.
The following is a DFT calculation (PBE) of a relaxed structure of ZnCo2Ni.

DFT formation energy	0.006	eV/atom
V	11.52	Å³ per atom
calculated density	8.72	g cm⁻³

CIF file:
```
data_ZnCo2Ni
_symmetry_space_group_name_H-M 'P 1'
_symmetry_Int_Tables_number 1
_cell_length_a 2.5619
_cell_length_b 4.2833
_cell_length_c 5.1762
_cell_angle_alpha 54.22
_cell_angle_beta 90.00
_cell_angle_gamma 90.00
loop_
_symmetry_equiv_pos_as_xyz
'x,y,z'
loop_
_atom_site_label
_atom_site_type_symbol
_atom_site_fract_x
_atom_site_fract_y
_atom_site_fract_z
_atom_site_occupancy
Co1 Co 0.0000 0.0000 0.0000 1
Co2 Co 0.5000 0.5000 0.0000 1
Ni1 Ni 0.5000 0.5000 0.5000 1
Zn1 Zn 0.0000 0.0000 0.5000 1
```


5.
The following is a DFT calculation (PBE) of a relaxed structure of Ac2ZnTe.

formation energy (no corrections)	-0.7319	eV per atom
V	32.38	Å³ per atom
calculated density	8.30	g cm⁻³

CIF file:
```
data_Ac2ZnTe
_symmetry_space_group_name_H-M 'P 1'
_symmetry_Int_Tables_number 1
_cell_length_a 4.0515
_cell_length_b 4.0515
_cell_length_c 7.8904
_cell_angle_alpha 90.00
_cell_angle_beta 90.00
_cell_angle_gamma 90.00
loop_
_symmetry_equiv_pos_as_xyz
'x,y,z'
loop_
_atom_site_label
_atom_site_type_symbol
_atom_site_fract_x
_atom_site_fract_y
_atom_site_fract_z
_atom_site_occupancy
Ac1 Ac 0.0000 0.0000 0.7588 1
Ac2 Ac 0.0000 0.0000 0.2412 1
Te1 Te 0.5000 0.5000 0.5000 1
Zn1 Zn 0.5000 0.5000 0.0000 1
```


6.
The following is a DFT calculation (PBE) of a relaxed structure of HfTiNbRh.

DFT formation energy	-0.433	eV/atom
V	17.45	Å³ per atom
calculated density	10.04	g cm⁻³

CIF file:
```
data_HfTiNbRh
_symmetry_space_group_name_H-M 'P 1'
_symmetry_Int_Tables_number 1
_cell_length_a 3.2167
_cell_length_b 3.2167
_cell_length_c 6.7472
_cell_angle_alpha 90.00
_cell_angle_beta 90.00
_cell_angle_gamma 90.00
loop_
_symmetry_equiv_pos_as_xyz
'x,y,z'
loop_
_atom_site_label
_atom_site_type_symbol
_atom_site_fract_x
_atom_site_fract_y
_atom_site_fract_z
_atom_site_occupancy
Hf1 Hf 0.5000 0.5000 0.6213 1
Ti1 Ti 0.5000 0.5000 0.0959 1
Nb1 Nb 0.0000 0.0000 0.3449 1
Rh1 Rh 0.0000 0.0000 0.8659 1
```